Density functional theory data (PBE) for crystalline KFeGe2Au at its relaxed geometry.

Calculated values
ΔE_f = 0.332 eV per atom

Cell: 4.541 4.541 5.795 Å, 90.00 90.00 90.00°
Positions (direct):
K1 0.000 0.000 0.000
Fe1 0.000 0.000 0.500
Ge1 0.000 0.500 0.500
Ge2 0.500 0.000 0.500
Au1 0.500 0.500 0.000

---

Density functional theory data (PBE) for crystalline CuAgBrCl2 at its relaxed geometry.

Calculated values
E_form (uncorrected) = -0.405 eV/atom

Cell: 7.251 3.781 9.894 Å, 90.00 95.53 90.00°
Positions (direct):
Cu1 0.141 0.250 0.334
Cu2 0.859 0.750 0.666
Ag1 0.338 0.250 0.848
Ag2 0.662 0.750 0.152
Br1 0.402 0.250 0.164
Br2 0.598 0.750 0.836
Cl1 0.095 0.750 0.830
Cl2 0.215 0.750 0.450
Cl3 0.785 0.250 0.550
Cl4 0.905 0.250 0.170

---

Density functional theory data (PBE) for crystalline Rb2MgHgAs at its relaxed geometry.

Calculated values
ΔE_f = -0.215 eV per atom

Cell: 6.928 6.928 5.013 Å, 90.00 90.00 90.00°
Positions (direct):
Rb1 0.000 0.500 0.000
Rb2 0.500 0.000 0.000
Mg1 0.000 0.000 0.500
Hg1 0.500 0.500 0.500
As1 0.000 0.000 0.000

---

Density functional theory data (PBE) for crystalline CdBi3Ir at its relaxed geometry.

Calculated values
distance to the lowest polymorph of the same formula = 0 meV per atom
ΔE_f = 0.479 eV per atom

Cell: 5.422 5.422 5.422 Å, 90.00 90.00 90.00°
Positions (direct):
Cd1 0.000 0.000 0.000
Bi1 0.000 0.500 0.500
Bi2 0.500 0.000 0.500
Bi3 0.500 0.500 0.000
Ir1 0.500 0.500 0.500

---

Density functional theory data (PBE) for crystalline Ba2Th3S8 at its relaxed geometry.

Calculated values
E_form (uncorrected) = -1.983 eV/atom
distance to the lowest polymorph of the same formula = 36 meV per atom

Cell: 8.739 4.434 11.074 Å, 90.00 109.15 90.00°
Positions (direct):
Ba1 0.248 0.000 0.208
Ba2 0.752 0.000 0.792
Th1 0.000 0.000 0.500
Th2 0.268 0.500 0.836
Th3 0.732 0.500 0.164
S1 0.067 0.500 0.362
S2 0.127 0.000 0.906
S3 0.308 0.000 0.670
S4 0.403 0.500 0.106
S5 0.597 0.500 0.894
S6 0.692 0.000 0.330
S7 0.873 0.000 0.094
S8 0.933 0.500 0.638

---

Density functional theory data (PBE) for crystalline LaNdAsSe at its relaxed geometry.

Calculated values
E_form (uncorrected) = -1.787 eV/atom

Cell: 7.475 7.475 7.475 Å, 33.39 33.39 33.39°
Positions (direct):
La1 0.000 0.000 0.000
Nd1 0.506 0.506 0.506
As1 0.252 0.252 0.252
Se1 0.755 0.755 0.755

---

Density functional theory data (PBE) for crystalline Cu2Ni4Pt5 at its relaxed geometry.

Calculated values
ΔE_f = 0.010 eV per atom

Cell: 5.574 13.665 3.924 Å, 90.00 90.00 90.00°
Positions (direct):
Cu1 0.025 0.209 0.000
Cu2 0.475 0.709 0.000
Cu3 0.525 0.291 0.000
Cu4 0.975 0.791 0.000
Ni1 0.110 0.381 0.000
Ni2 0.201 0.042 0.000
Ni3 0.299 0.542 0.000
Ni4 0.390 0.881 0.000
Ni5 0.610 0.119 0.000
Ni6 0.701 0.458 0.000
Ni7 0.799 0.958 0.000
Ni8 0.890 0.619 0.000
Pt1 0.000 0.500 0.500
Pt2 0.086 0.905 0.500
Pt3 0.154 0.693 0.500
Pt4 0.346 0.193 0.500
Pt5 0.414 0.405 0.500
Pt6 0.500 0.000 0.500
Pt7 0.586 0.595 0.500
Pt8 0.654 0.807 0.500
Pt9 0.846 0.307 0.500
Pt10 0.914 0.095 0.500

---

Density functional theory data (PBE) for crystalline SrCr2Ni at its relaxed geometry.

Calculated values
distance to the lowest polymorph of the same formula = 487 meV per atom
ΔE_f = 0.884 eV per atom

Cell: 8.470 8.470 8.470 Å, 20.92 20.92 20.92°
Positions (direct):
Sr1 0.000 0.000 0.000
Cr1 0.501 0.501 0.501
Cr2 0.776 0.776 0.776
Ni1 0.236 0.236 0.236

---

Density functional theory data (PBE) for crystalline TbGdZnIn at its relaxed geometry.

Calculated values
ΔE_f = -0.405 eV per atom

Cell: 5.241 5.241 5.241 Å, 60.00 60.00 60.00°
Positions (direct):
Tb1 0.000 0.000 0.000
Gd1 0.500 0.500 0.500
Zn1 0.750 0.750 0.750
In1 0.250 0.250 0.250

---

Density functional theory data (PBE) for crystalline Tb2NdSi2 at its relaxed geometry.

Calculated values
E_form (uncorrected) = -0.634 eV/atom
distance to the lowest polymorph of the same formula = 0 meV per atom

Cell: 7.722 7.722 4.118 Å, 90.00 90.00 90.00°
Positions (direct):
Tb1 0.177 0.323 0.000
Tb2 0.323 0.823 0.000
Tb3 0.677 0.177 0.000
Tb4 0.823 0.677 0.000
Nd1 0.000 0.000 0.500
Nd2 0.500 0.500 0.500
Si1 0.112 0.612 0.500
Si2 0.388 0.112 0.500
Si3 0.612 0.888 0.500
Si4 0.888 0.388 0.500

---

Density functional theory data (PBE) for crystalline Sr2SmPbO6 at its relaxed geometry.

Calculated values
E_form (uncorrected) = -2.207 eV/atom

Cell: 6.039 6.196 10.460 Å, 90.00 124.81 90.00°
Positions (direct):
Sr1 0.233 0.049 0.250
Sr2 0.233 0.451 0.750
Sr3 0.767 0.549 0.250
Sr4 0.767 0.951 0.750
Sm1 0.500 0.000 0.000
Sm2 0.500 0.500 0.500
Pb1 0.000 0.000 0.500
Pb2 0.000 0.500 0.000
O1 0.137 0.214 0.940
O2 0.137 0.286 0.440
O3 0.231 0.702 0.943
O4 0.231 0.798 0.443
O5 0.354 0.048 0.743
O6 0.354 0.452 0.243
O7 0.646 0.548 0.757
O8 0.646 0.952 0.257
O9 0.769 0.202 0.557
O10 0.769 0.298 0.057
O11 0.863 0.714 0.560
O12 0.863 0.786 0.060

---

Density functional theory data (PBE) for crystalline BaPbS2Cl at its relaxed geometry.

Calculated values
E_form (uncorrected) = -1.047 eV/atom
distance to the lowest polymorph of the same formula = 0 meV per atom

Cell: 5.308 5.308 5.407 Å, 90.00 90.00 90.00°
Positions (direct):
Ba1 0.000 0.000 0.000
Pb1 0.500 0.500 0.500
S1 0.000 0.500 0.500
S2 0.500 0.000 0.500
Cl1 0.500 0.500 0.000

---

| no. | total moment (μB/f.u.) |
| --- | --- |
| 1 | 0.76 |
| 2 | 0.00 |
| 3 | 0.00 |
| 4 | 0.00 |
| 5 | 0.00 |
| 6 | 0.00 |
| 7 | 3.91 |
| 8 | 0.07 |
| 9 | 7.71 |
| 10 | 0.00 |
| 11 | 1.11 |
| 12 | 0.00 |